First-principles (PBE) data for a geometry-optimized Nb2VRh6 structure, as listed in Alexandria via LeMat-Bulk.

The formation enthalpy at 0 K comes out at -239 meV/atom.

The structure belongs to space group C2/m (No. 12); the cell edges are 9.3886, 5.3106 and 5.7116 Å and the angles 90.00°, 97.57° and 90.00°. The inequivalent atoms are Nb at (0.1707, 0.0000, 0.1337), V at (0.0000, 0.5000, 0.0000), Rh at (0.0823, 0.2424, 0.7072) and Rh at (0.1819, 0.5000, 0.3351).


First-principles (PBE) data for a geometry-optimized Y4HoTm5 structure, as listed in Alexandria via LeMat-Bulk.

The calculation puts the distance to the lowest polymorph of the same formula at 245 meV/atom. The formation enthalpy at 0 K comes out at 304 meV/atom.

The structure belongs to space group I4 (No. 79); the cell edges are 10.0935, 10.0935 and 6.2950 Å and the angles 90.00°, 90.00° and 90.00°. The inequivalent atoms are Y at (0.0452, 0.3410, 0.0000), Ho at (0.0000, 0.0000, 0.2292), Tm at (0.0000, 0.0000, 0.7704) and Tm at (0.1433, 0.2284, 0.5007).